[1]
A relaxed NbCo3Pd crystal. Source: Alexandria, functional PBE.

Results
The calculation puts the density of states at the Fermi level at 1.51 states/eV per atom. Its energy of formation is 6.85 eV per formula unit. The symmetry is Pm-3m, No. 221. The value obtained for the total magnetization is 1.9 μB per formula unit.

a b c (Å): 4.4007 4.4007 4.4007
angles (deg): 90.00 90.00 90.00
Last column: nearest neighbours and their distance in Å.
Positions (direct):
Nb (0.0000, 0.0000, 0.0000)  6 Co 2.20
Co (0.0000, 0.0000, 0.5000)  2 Nb 2.20
Co (0.0000, 0.5000, 0.0000)  2 Nb 2.20
Co (0.5000, 0.0000, 0.0000)  2 Nb 2.20
Pd (0.5000, 0.5000, 0.5000)  12 Co 3.11

---

[2]
A relaxed LiPrMnSe3 crystal. Source: Alexandria, functional PBE.

Results
The calculation puts the density of states at the Fermi level at 0.04 states/eV per atom. The symmetry is P2_1/m, No. 11. The value obtained for the total magnetization is 5.0 μB per formula unit. The formation energy (no corrections) comes out at -1.193 eV/atom.

a b c (Å): 7.9095 4.0331 8.8747
angles (deg): 90.00 105.55 90.00
Last column: nearest neighbours and their distance in Å.
Positions (direct):
Li (0.1009, 0.2500, 0.0976)  4 Se 2.47-2.61
Li (0.8991, 0.7500, 0.9024)  4 Se 2.47-2.61
Pr (0.2052, 0.2500, 0.7433)  7 Se 3.00-3.15
Pr (0.7948, 0.7500, 0.2567)  7 Se 3.00-3.15
Mn (0.3275, 0.7500, 0.3440)  6 Se 2.65-2.84
Mn (0.6725, 0.2500, 0.6560)  6 Se 2.65-2.84
Se (0.0964, 0.2500, 0.3745)  1 Li 2.47
Se (0.2395, 0.7500, 0.0121)  3 Li 2.51-2.61
Se (0.4416, 0.7500, 0.6536)  3 Mn 2.65-2.72
Se (0.5584, 0.2500, 0.3464)  3 Mn 2.65-2.72
Se (0.7605, 0.2500, 0.9879)  3 Li 2.51-2.61
Se (0.9036, 0.7500, 0.6255)  1 Li 2.47

---

[3]
A relaxed PaCoTc crystal. Source: Alexandria, functional PBE.

Results
The calculation puts the density of states at the Fermi level at 1.19 states/eV per atom. Its energy of formation is 0.32 eV per formula unit. The symmetry is I4mm, No. 107. The value obtained for the total magnetization is 1.0 μB per formula unit.

a b c (Å): 6.0911 6.0911 6.0911
angles (deg): 151.83 151.83 40.26
Last column: nearest neighbours and their distance in Å.
Positions (direct):
Pa (0.0000, 0.0000, 0.0000)  4 Pa 2.96, 4 Co 2.98, 4 Tc 3.06
Co (0.6849, 0.6849, 0.0000)  4 Tc 2.51
Tc (0.3055, 0.3055, 0.0000)  4 Co 2.51

---

[4]
A relaxed SmYThTc crystal. Source: Alexandria, functional PBE.

Results
The calculation puts the density of states at the Fermi level at 1.15 states/eV per atom. Its energy of formation is -0.10 eV per formula unit. The symmetry is Imm2, No. 44. The value obtained for the total magnetization is 0.0 μB per formula unit.

a b c (Å): 6.2176 6.2176 6.2176
angles (deg): 144.66 126.81 65.49
Last column: nearest neighbours and their distance in Å.
Positions (direct):
Sm (0.0000, 0.0000, 0.0000)  2 Tc 2.97
Y (0.3023, 0.8023, 0.5000)  4 Tc 3.37, 4 Sm 3.47-3.68, 4 Th 3.48-3.67, 2 Y 3.77
Th (0.6032, 0.6032, 0.0000)  2 Tc 2.64
Tc (0.7803, 0.2803, 0.5000)  2 Th 2.64

---

[5]
A relaxed ScGeSb crystal. Source: Alexandria, functional PBE.

Results
The calculation puts the density of states at the Fermi level at 0.33 states/eV per atom. The symmetry is P2_1, No. 4. The value obtained for the total magnetization is 0.0 μB per formula unit. The formation energy (no corrections) comes out at -0.389 eV/atom.

a b c (Å): 5.6915 6.9981 7.4601
angles (deg): 90.00 96.19 90.00
Last column: nearest neighbours and their distance in Å.
Positions (direct):
Sc (0.0416, 0.0000, 0.2514)  3 Ge 2.86-2.91, 4 Sb 2.95-3.06
Sc (0.3377, 0.4723, 0.4199)  2 Ge 2.75-2.92, 4 Sb 2.92-3.06
Sc (0.6623, 0.9723, 0.5801)  2 Ge 2.75-2.92, 4 Sb 2.92-3.06
Sc (0.9584, 0.5000, 0.7486)  3 Ge 2.86-2.91, 4 Sb 2.95-3.06
Ge (0.0290, 0.3845, 0.1225)  2 Ge 2.60-2.62, 3 Sc 2.75-2.89, 1 Sb 2.88
Ge (0.2827, 0.6915, 0.0851)  2 Ge 2.60-2.62, 1 Sb 2.68, 1 Sc 2.91
Ge (0.7173, 0.1915, 0.9149)  2 Ge 2.60-2.62, 1 Sb 2.68, 1 Sc 2.91
Ge (0.9710, 0.8845, 0.8775)  2 Ge 2.60-2.62, 3 Sc 2.75-2.89, 1 Sb 2.88
Sb (0.1728, 0.1317, 0.6266)  1 Ge 2.88, 5 Sc 2.96-3.10
Sb (0.4722, 0.6366, 0.7752)  1 Ge 2.68, 2 Sc 2.92-2.95
Sb (0.5278, 0.1366, 0.2248)  1 Ge 2.68, 2 Sc 2.92-2.95
Sb (0.8272, 0.6317, 0.3734)  1 Ge 2.88, 5 Sc 2.96-3.10

---

[6]
A relaxed K2HgCl2 crystal. Source: Alexandria, functional PBE.

Results
The calculation puts the density of states at the Fermi level at 0.00 states/eV per atom. The symmetry is I4/mmm, No. 139. The value obtained for the total magnetization is 0.0 μB per formula unit. The formation energy (no corrections) comes out at -1.422 eV/atom.

a b c (Å): 7.8410 7.8410 7.8410
angles (deg): 134.91 134.91 65.67
Last column: nearest neighbours and their distance in Å.
Positions (direct):
K (0.2500, 0.7500, 0.5000)  4 Cl 3.07
K (0.7500, 0.2500, 0.5000)  4 Cl 3.07
Hg (0.0000, 0.0000, 0.0000)  2 Cl 3.89
Cl (0.2955, 0.2955, 0.0000)  4 K 3.07
Cl (0.7045, 0.7045, 0.0000)  4 K 3.07

---

[7]
A relaxed SrIn2Pb3 crystal. Source: Alexandria, functional PBE.

Results
The calculation puts the density of states at the Fermi level at 0.54 states/eV per atom. Its energy of formation is -1.07 eV per formula unit. The symmetry is Cmmm, No. 65. The value obtained for the total magnetization is 0.0 μB per formula unit.

a b c (Å): 7.2260 7.2260 5.2158
angles (deg): 90.00 90.00 137.48
Last column: nearest neighbours and their distance in Å.
Positions (direct):
Sr (0.0000, 0.0000, 0.0000)  8 Pb 3.50-3.70, 4 In 3.56
In (0.3208, 0.6792, 0.0000)  2 In 3.24, 4 Pb 3.27-3.55, 2 Sr 3.56
In (0.6792, 0.3208, 0.0000)  2 In 3.24, 4 Pb 3.27-3.55, 2 Sr 3.56
Pb (0.1738, 0.8262, 0.5000)  2 In 3.27, 4 Pb 3.33-3.51, 2 Sr 3.50
Pb (0.5000, 0.5000, 0.5000)  4 Pb 3.51, 4 In 3.55, 4 Sr 3.70
Pb (0.8262, 0.1738, 0.5000)  2 In 3.27, 4 Pb 3.33-3.51, 2 Sr 3.50

---

[8]
A relaxed HoNpAs2Rh5 crystal. Source: Alexandria, functional PBE.

Results
The calculation puts the density of states at the Fermi level at 1.08 states/eV per atom. Its energy of formation is -3.01 eV per formula unit. The symmetry is P4/mmm, No. 123. The value obtained for the total magnetization is 1.9 μB per formula unit.

a b c (Å): 3.9494 3.9494 11.5079
angles (deg): 90.00 90.00 90.00
Last column: nearest neighbours and their distance in Å.
Positions (direct):
Ho (0.0000, 0.0000, 0.0000)  4 Rh 2.79
Np (0.5000, 0.5000, 0.5000)  8 Rh 2.69
As (0.5000, 0.5000, 0.2068)  5 Rh 2.38-2.51
As (0.5000, 0.5000, 0.7932)  5 Rh 2.38-2.51
Rh (0.0000, 0.5000, 0.3410)  2 As 2.51, 2 Np 2.69, 4 Rh 2.79
Rh (0.0000, 0.5000, 0.6590)  2 As 2.51, 2 Np 2.69, 4 Rh 2.79
Rh (0.5000, 0.0000, 0.3410)  2 As 2.51, 2 Np 2.69, 4 Rh 2.79
Rh (0.5000, 0.0000, 0.6590)  2 As 2.51, 2 Np 2.69, 4 Rh 2.79
Rh (0.5000, 0.5000, 0.0000)  2 As 2.38